Record 1
Material: NaLaBe2Co
Method: DFT, PBE
State: relaxed

Lattice parameters (Å, degrees): 4.4787 4.4787 5.4949 90.00 90.00 90.00
Element x y z (fractional)
Na 0.0000 0.0000 0.0000
La 0.0000 0.0000 0.5000
Be 0.0000 0.5000 0.0000
Be 0.5000 0.0000 0.0000
Co 0.5000 0.5000 0.5000

Summary:
- symmetry = No. 123
- energy of formation (eV/f.u.) = 8.1
- volume (Å³/atom) = 22.04

=====

Record 2
Material: NaNpIrO6
Method: DFT, PBE
State: relaxed

Lattice parameters (Å, degrees): 5.3256 5.3256 10.5011 90.00 90.00 120.00
Element x y z (fractional)
Na 0.0000 0.0000 0.0000
Na 0.0000 0.0000 0.5000
Np 0.3333 0.6667 0.2500
Np 0.6667 0.3333 0.7500
Ir 0.3333 0.6667 0.7500
Ir 0.6667 0.3333 0.2500
O 0.0070 0.3603 0.6466
O 0.0070 0.6467 0.8534
O 0.3533 0.3603 0.8534
O 0.3533 0.9930 0.6466
O 0.3603 0.0070 0.1466
O 0.3603 0.3533 0.3534
O 0.6397 0.6467 0.6466
O 0.6397 0.9930 0.8534
O 0.6467 0.0070 0.3534
O 0.6467 0.6397 0.1466
O 0.9930 0.3533 0.1466
O 0.9930 0.6397 0.3534

Summary:
- symmetry = No. 163
- E_form (uncorrected) (eV per formula unit) = -16.1
- volume (Å³/atom) = 14.33

=====

Record 3
Material: LiY2Tc
Method: DFT, PBE
State: relaxed

Lattice parameters (Å, degrees): 10.4079 3.5254 5.0546 90.00 106.97 90.00
Element x y z (fractional)
Li 0.0000 0.0000 0.0000
Li 0.5000 0.5000 0.0000
Y 0.0634 0.5000 0.5791
Y 0.2731 0.5000 0.2197
Y 0.5634 0.0000 0.5791
Y 0.7731 0.0000 0.2197
Tc 0.2994 0.0000 0.7203
Tc 0.7994 0.5000 0.7203

Summary:
- symmetry = No. 8
- energy of formation (eV/f.u.) = 0.7
- volume (Å³/atom) = 22.17